The following is a DFT calculation (PBE+U) of crystalline Rb2BeFeO4 at its relaxed geometry.

POSCAR file:
```
Rb2BeFeO4
1.0
-0.668 -0.991 4.618
-2.781 -5.788 0.819
8.674 -4.769 2.695
Rb O Be Fe
4 8 2 2
direct
0.174 0.000 0.651 Rb
0.826 0.000 0.349 Rb
0.576 0.500 0.849 Rb
0.924 0.500 0.151 Rb
0.855 0.666 0.579 O
0.895 0.834 0.921 O
0.567 0.334 0.579 O
0.099 0.334 0.421 O
0.183 0.166 0.921 O
0.479 0.666 0.421 O
0.271 0.834 0.079 O
0.651 0.166 0.079 O
0.000 0.000 0.000 Be
0.750 0.500 0.500 Be
0.500 0.000 0.000 Fe
0.250 0.500 0.500 Fe
```

Values from the calculation:
- final energy (Ry/atom) = -0.4053
- size of the total moment (μB/f.u.) = 4.0
- density (Mg/m³) = 3.476